# Nd2YCu

Crystalline Nd2YCu at its relaxed geometry (PBE-GGA, the Alexandria database).

For the formation energy, the calculation gives -0.042 eV per atom. As for the density of states at the Fermi level: 6.458 states/eV/cell. The energy above the lowest structure with this stoichiometry is 11.2 kJ/mol of formula units. The total energy comes out at -5.07 eV per atom.

The space group is P4/mmm (No. 123) and the conventional cell measures 3.6374, 3.6374 and 8.6751 Å, with angles of 90.00, 90.00 and 90.00 degrees. The inequivalent atoms are Nd at (0.0000, 0.0000, 0.2007), Y at (0.5000, 0.5000, 0.5000) and Cu at (0.5000, 0.5000, 0.0000).